Density functional theory data (GGA-PBE) for an optimized crystal structure of KH2AuC4N4O.

Cell and atoms, written as POSCAR:
```
KH2AuC4N4O
1.0
6.541 0.000 0.000
0.000 6.986 0.000
0.000 0.000 17.306
K H Au C N O
4 8 4 16 16 4
Cartesian
1.557 0.270 0.304 K
1.713 6.715 8.957 K
4.828 3.222 17.002 K
4.984 3.763 8.349 K
1.225 2.158 7.460 H
1.488 2.914 8.796 H
1.782 4.071 0.143 H
2.045 4.828 16.113 H
4.496 1.335 9.847 H
4.759 0.579 8.510 H
5.053 6.407 17.163 H
5.316 5.651 1.193 H
1.575 2.992 12.789 Au
1.695 3.994 4.136 Au
4.846 0.501 4.517 Au
4.966 6.484 13.170 Au
0.000 3.487 5.075 C
0.000 6.980 3.578 C
0.107 5.956 14.129 C
0.859 2.324 14.538 C
0.961 3.287 2.412 C
2.309 3.698 11.065 C
2.412 4.662 5.885 C
3.163 1.029 5.476 C
3.271 0.006 12.231 C
3.271 3.499 13.728 C
3.378 4.522 3.177 C
4.129 1.169 2.768 C
4.232 0.206 14.894 C
5.580 6.780 6.241 C
5.683 5.817 11.421 C
6.434 2.464 11.830 C
0.466 1.955 15.574 N
0.553 2.892 1.390 N
0.981 6.673 3.021 N
1.048 5.604 14.723 N
2.223 1.381 6.070 N
2.290 0.312 11.674 N
2.717 4.093 10.043 N
2.804 5.031 6.921 N
3.737 1.538 1.732 N
3.824 0.600 15.916 N
4.251 3.805 14.286 N
4.319 4.874 2.583 N
5.493 2.112 11.236 N
5.561 3.181 5.632 N
5.988 6.385 7.263 N
6.075 5.448 10.386 N
0.818 2.371 8.335 O
2.452 4.615 16.988 O
4.089 1.122 8.972 O
5.723 5.864 0.319 O
```

Calculated values
Crystal system: orthorhombic
DFT total energy: -6.643 eV per atom
Calculated volume: 15.208 A^3/atom
SG: No. 19